Sm5Sn2Te2 | Alexandria via LeMat-Bulk | GGA-PBE | optimized geometry; E_form (uncorrected) = -813 meV per atom; space-group type = Ima2 (46); E above lowest polymorph = 222 meV per atom
1.0
-1.145 -3.187 7.085
7.996 -2.601 0.123
-1.078 10.285 0.100
Sm Sn Te
10 4 4
direct
0.500 0.502 0.310
0.310 0.002 0.310
0.771 0.794 0.115
0.155 0.179 0.885
0.845 0.294 0.115
0.904 0.256 0.500
0.229 0.679 0.885
0.096 0.756 0.500
0.500 0.192 0.690
0.690 0.692 0.690
0.874 0.438 0.834
0.126 0.604 0.166
0.540 0.104 0.166
0.460 0.938 0.834
0.274 0.411 0.500
0.726 0.911 0.500
0.500 0.460 0.000
0.000 0.960 0.000


UPaB | Alexandria via LeMat-Bulk | GGA-PBE | optimized geometry; formation energy = -0.1523 eV per atom; space-group type = Cmcm (63); E above lowest polymorph = 0 meV per atom
1.0
3.067 0.000 0.000
0.000 4.008 0.000
0.000 2.004 8.381
Pa B U
2 2 2
direct
0.250 0.692 0.615
0.750 0.308 0.385
0.750 0.475 0.050
0.250 0.525 0.950
0.750 0.076 0.848
0.250 0.924 0.152


KAgSeO4 | Alexandria via LeMat-Bulk | GGA-PBE | optimized geometry; E_form (uncorrected) = -907 meV per atom; space-group type = I-4 (82)
1.0
-0.329 -5.271 3.049
5.995 0.255 1.087
-3.544 4.544 1.375
O Se K Ag
4 1 1 1
direct
0.952 0.496 0.268
0.317 0.772 0.268
0.504 0.683 0.732
0.228 0.048 0.732
0.250 0.750 0.500
0.000 0.000 0.000
0.500 0.500 0.000